No. 1
MgZn2CdAu5 after structural relaxation. Source: Alexandria via LeMat-Bulk, functional GGA-PBE.

Computed properties:
Total magnetic moment   0.00 Bohr magnetons per cell
Formation enthalpy at 0 K   -0.103 eV/atom

Lattice parameters (Å, degrees): 4.750 4.750 7.714 90.00 90.00 90.00
Space group P4/mmm (No. 123)
Asymmetric unit:
Mg 0.000 0.000 0.000 [1 per cell]
Zn 0.500 0.500 0.152 [2 per cell]
Cd 0.000 0.000 0.500 [1 per cell]
Au 0.000 0.500 0.272 [4 per cell]
Au 0.500 0.500 0.500 [1 per cell]

---

No. 2
InPt2Au after structural relaxation. Source: Alexandria via LeMat-Bulk, functional GGA-PBE.

Computed properties:
Total magnetic moment   0.00 Bohr magnetons per cell
Formation enthalpy at 0 K   -0.255 eV/atom

Lattice parameters (Å, degrees): 3.023 3.865 5.928 90.00 90.16 90.00
Space group P2/m (No. 10)
Asymmetric unit:
In 0.000 0.000 0.000 [1 per cell]
Pt 0.499 0.500 0.247 [2 per cell]
Au 0.000 0.000 0.500 [1 per cell]